Entry 1:
VASP calculation (PBE) on a geometry-optimized Ta2HRhI structure.

Values from the calculation:
**E**: -6.420 eV per atom

Cell lengths 5.117, 5.117, 3.301 Å; angles 90.00, 90.00, 90.00 degrees
Positions (direct):
Ta: 0.000 0.500 0.000
Ta: 0.500 0.000 0.000
H: 0.000 0.000 0.500
Rh: 0.000 0.000 0.000
I: 0.500 0.500 0.500



Entry 2:
VASP calculation (PBE) on a geometry-optimized Be2CdPdRh structure.

Values from the calculation:
**Formation energy from the elements**: 2.18 eV/f.u.
**E**: -3.746 eV per atom

Cell lengths 4.095, 4.095, 5.125 Å; angles 90.00, 90.00, 90.00 degrees
Positions (direct):
Be: 0.000 0.500 0.000
Be: 0.500 0.000 0.000
Cd: 0.000 0.000 0.500
Pd: 0.500 0.500 0.500
Rh: 0.500 0.500 0.000



Entry 3:
VASP calculation (PBE) on a geometry-optimized Rb2TlNF6 structure.

Values from the calculation:
**Uncorrected formation energy**: -1.424 eV per atom
**E**: -3.809 eV per atom

Cell lengths 6.618, 6.618, 6.618 Å; angles 126.80, 126.80, 78.57 degrees
Positions (direct):
Rb: 0.250 0.750 0.500
Rb: 0.750 0.250 0.500
Tl: 0.000 0.000 0.000
N: 0.500 0.500 0.000
F: 0.220 0.220 0.000
F: 0.279 0.279 0.557
F: 0.279 0.721 0.000
F: 0.721 0.279 0.000
F: 0.721 0.721 0.443
F: 0.780 0.780 0.000



Entry 4:
VASP calculation (PBE) on a geometry-optimized ReMo2Rh structure.

Values from the calculation:
**Polymorph energy (0 for the lowest one)**: 5.7 kJ/mol of atoms
**Formation energy from the elements**: 0.22 eV/f.u.
**E**: -10.310 eV per atom

Cell lengths 2.711, 2.711, 8.545 Å; angles 90.00, 90.00, 103.61 degrees
Positions (direct):
Re: 0.000 0.000 0.000
Mo: 0.500 0.500 0.256
Mo: 0.500 0.500 0.744
Rh: 0.000 0.000 0.500



Entry 5:
VASP calculation (PBE) on a geometry-optimized Ce2FeSiC structure.

Values from the calculation:
**Uncorrected formation energy**: -0.381 eV per atom
**E**: -7.376 eV per atom

Cell lengths 6.572, 3.861, 7.922 Å; angles 90.00, 111.27, 90.00 degrees
Positions (direct):
Ce: 0.188 0.250 0.419
Ce: 0.243 0.750 0.021
Ce: 0.757 0.250 0.979
Ce: 0.812 0.750 0.581
Fe: 0.222 0.250 0.711
Fe: 0.778 0.750 0.289
Si: 0.431 0.750 0.726
Si: 0.569 0.250 0.274
C: 0.003 0.250 0.810
C: 0.997 0.750 0.190



Entry 6:
VASP calculation (PBE) on a geometry-optimized RbTe4 structure.

Values from the calculation:
**Uncorrected formation energy**: 1.064 eV per atom
**Polymorph energy (0 for the lowest one)**: 128.9 kJ/mol of atoms
**E**: -1.643 eV per atom

Cell lengths 6.768, 6.768, 6.768 Å; angles 90.00, 90.00, 90.00 degrees
Positions (direct):
Rb: 0.000 0.000 0.000
Te: 0.000 0.000 0.500
Te: 0.000 0.500 0.000
Te: 0.500 0.000 0.000
Te: 0.500 0.500 0.500



Entry 7:
VASP calculation (PBE) on a geometry-optimized RbScHg2Au structure.

Values from the calculation:
**Polymorph energy (0 for the lowest one)**: 41.0 kJ/mol of atoms
**Formation energy from the elements**: 2.49 eV/f.u.
**E**: -1.739 eV per atom

Cell lengths 5.564, 5.564, 7.496 Å; angles 90.00, 90.00, 90.00 degrees
Positions (direct):
Rb: 0.000 0.000 0.000
Sc: 0.000 0.000 0.500
Hg: 0.000 0.500 0.500
Hg: 0.500 0.000 0.500
Au: 0.500 0.500 0.000



Entry 8:
VASP calculation (PBE) on a geometry-optimized La2Pr6Y3Mg structure.

Values from the calculation:
**Formation energy from the elements**: 0.07 eV/f.u.
**E**: -4.954 eV per atom

Cell lengths 6.326, 6.326, 12.053 Å; angles 95.07, 95.07, 120.06 degrees
Positions (direct):
La: 0.167 0.833 0.000
La: 0.833 0.167 0.000
Pr: 0.087 0.417 0.747
Pr: 0.253 0.253 0.254
Pr: 0.417 0.087 0.747
Pr: 0.583 0.913 0.253
Pr: 0.747 0.747 0.746
Pr: 0.913 0.583 0.253
Y: 0.000 0.000 0.500
Y: 0.334 0.666 0.500
Y: 0.666 0.334 0.500
Mg: 0.500 0.500 0.000